First-principles (PBE) data for a relaxed CeYPuSc crystal, as listed in Alexandria.

Calculated values
Calculated formation energy (meV/atom): 174
Theoretical density (Mg/m³): 7.62

Cell lengths 5.424, 5.424, 5.424 Å; angles 60.00, 60.00, 60.00 degrees
Last column: magnetic moment on the atom in μB.
Positions (direct):
Ce (0.250, 0.250, 0.250)  1.05
Y (0.750, 0.750, 0.750)  0.27
Pu (0.500, 0.500, 0.500)  5.63
Sc (0.000, 0.000, 0.000)  0.22